(1)
Be2InOs | PBE | relaxed

Summary:
Space group   No. 99
Energy of formation   0.91 eV per formula unit
V   54 Å³/f.u.

Structure (POSCAR):
```
Be2InOs
1.0
-1.657 0.836 2.365
0.436 -2.696 1.258
4.928 2.067 2.722
Be Os In
2 1 1
Cartesian
4.902 2.056 2.708
0.316 -0.541 2.323
3.444 0.770 4.051
2.438 1.023 1.347
```

***

(2)
ZrTa2Ir2 | PBE | relaxed

Summary:
Space group   No. 127
Energy of formation   -2.17 eV per formula unit
V   89 Å³/f.u.
Energy above the most stable polymorph in this dataset   0.035 eV per atom

Structure (POSCAR):
```
ZrTa2Ir2
1.0
7.820 0.000 0.000
0.000 7.820 0.000
0.000 0.000 2.909
Ir Zr Ta
4 2 4
Cartesian
1.126 5.036 1.454
5.036 6.694 1.454
6.694 2.784 1.454
2.784 1.126 1.454
0.000 0.000 0.000
3.910 3.910 0.000
2.714 6.624 0.000
6.624 5.106 0.000
5.106 1.196 0.000
1.196 2.714 0.000
```

***

(3)
CoCuBr2 | PBE | relaxed

Summary:
Space group   No. 123
Formation energy from raw total energies   0.5080 eV/atom
V   74 Å³/f.u.
Energy above the most stable polymorph in this dataset   0.540 eV per atom

Structure (POSCAR):
```
CoCuBr2
1.0
3.337 0.000 0.000
0.000 3.338 0.000
0.000 0.000 6.636
Br Co Cu
2 1 1
Cartesian
0.000 0.000 0.054
0.000 0.000 3.264
1.668 1.669 1.659
1.668 1.669 4.977
```

***

(4)
Ti6HN2 | PBE | relaxed

Summary:
Space group   No. 12
V   115 Å³/f.u.
Energy above the most stable polymorph in this dataset   0.106 eV per atom

Structure (POSCAR):
```
Ti6HN2
1.0
4.050 0.000 0.000
2.025 4.916 0.103
2.025 2.215 5.822
Ti H N
6 1 2
Cartesian
6.075 5.566 5.473
2.025 1.564 0.452
6.075 4.468 1.413
4.050 4.944 3.417
2.025 2.663 4.512
4.050 2.186 2.508
2.025 3.565 2.962
4.050 5.674 5.402
4.050 1.457 0.523
```